## Sm2PuMg (PBE-GGA)

Data for an optimized crystal structure of Sm2PuMg.

Excess energy over the best structure of this formula in the dataset = 19 meV/atom
Spin magnetization = 6.45 μB/cell
Formation energy = 0.082 eV per atom
Calculated volume = 29.04 A^3/atom

The structure in CIF format:
```
data_Sm2PuMg
_symmetry_space_group_name_H-M 'P 4/m m m'
_symmetry_Int_Tables_number 123
_symmetry_space_group_name_Hall '-P 4 2'
_cell_length_a 5.634
_cell_length_b 5.634
_cell_length_c 3.659
_cell_angle_alpha 90.00
_cell_angle_beta 90.00
_cell_angle_gamma 90.00
loop_
_atom_site_label
_atom_site_fract_x
_atom_site_fract_y
_atom_site_fract_z
Sm1 0.000 0.500 0.000
Pu1 0.000 0.000 0.500
Mg1 0.500 0.500 0.500
```

=====

## SmPuMg (PBE-GGA)

Data for an optimized crystal structure of SmPuMg.

Excess energy over the best structure of this formula in the dataset = 0 meV/atom
Spin magnetization = 11.97 μB/cell
Formation energy = 0.122 eV per atom
Calculated volume = 28.29 A^3/atom

The structure in CIF format:
```
data_SmPuMg
_symmetry_space_group_name_H-M 'I 4 m m'
_symmetry_Int_Tables_number 107
_symmetry_space_group_name_Hall 'I 4 -2'
_cell_length_a 3.368
_cell_length_b 3.368
_cell_length_c 14.961
_cell_angle_alpha 90.00
_cell_angle_beta 90.00
_cell_angle_gamma 90.00
loop_
_atom_site_label
_atom_site_fract_x
_atom_site_fract_y
_atom_site_fract_z
Sm1 0.000 0.000 0.000
Pu1 0.000 0.000 0.326
Mg1 0.000 0.000 0.665
```

=====

## Sm2PuMg (PBE-GGA)

Data for an optimized crystal structure of Sm2PuMg.

Excess energy over the best structure of this formula in the dataset = 87 meV/atom
Spin magnetization = 24.75 μB/cell
Formation energy = 0.149 eV per atom
Calculated volume = 29.86 A^3/atom

The structure in CIF format:
```
data_Sm2PuMg
_symmetry_space_group_name_H-M 'F m -3 m'
_symmetry_Int_Tables_number 225
_symmetry_space_group_name_Hall '-F 4 2 3'
_cell_length_a 7.818
_cell_length_b 7.818
_cell_length_c 7.818
_cell_angle_alpha 90.00
_cell_angle_beta 90.00
_cell_angle_gamma 90.00
loop_
_atom_site_label
_atom_site_fract_x
_atom_site_fract_y
_atom_site_fract_z
Sm1 0.250 0.250 0.250
Pu1 0.000 0.000 0.000
Mg1 0.000 0.000 0.500
```

=====

## SmPuMg2 (PBE-GGA)

Data for an optimized crystal structure of SmPuMg2.

Excess energy over the best structure of this formula in the dataset = 42 meV/atom
Spin magnetization = 6.29 μB/cell
Formation energy = 0.120 eV per atom
Calculated volume = 27.38 A^3/atom

The structure in CIF format:
```
data_SmPuMg2
_symmetry_space_group_name_H-M 'P 4/m m m'
_symmetry_Int_Tables_number 123
_symmetry_space_group_name_Hall '-P 4 2'
_cell_length_a 4.724
_cell_length_b 4.724
_cell_length_c 4.907
_cell_angle_alpha 90.00
_cell_angle_beta 90.00
_cell_angle_gamma 90.00
loop_
_atom_site_label
_atom_site_fract_x
_atom_site_fract_y
_atom_site_fract_z
Sm1 0.000 0.000 0.000
Pu1 0.500 0.500 0.000
Mg1 0.000 0.500 0.500
```

=====

## SmPu4Mg (PBE-GGA)

Data for an optimized crystal structure of SmPu4Mg.

Spin magnetization = 93.27 μB/cell
Formation energy = 0.303 eV per atom
Calculated volume = 27.68 A^3/atom

The structure in CIF format:
```
data_SmPu4Mg
_symmetry_space_group_name_H-M 'F -4 3 m'
_symmetry_Int_Tables_number 216
_symmetry_space_group_name_Hall 'F -4 2 3'
_cell_length_a 8.726
_cell_length_b 8.726
_cell_length_c 8.726
_cell_angle_alpha 90.00
_cell_angle_beta 90.00
_cell_angle_gamma 90.00
loop_
_atom_site_label
_atom_site_fract_x
_atom_site_fract_y
_atom_site_fract_z
Sm1 0.000 0.000 0.000
Pu1 0.125 0.125 0.625
Mg1 0.250 0.250 0.250
```

=====

## SmPuMg4 (PBE-GGA)

Data for an optimized crystal structure of SmPuMg4.

Spin magnetization = 23.50 μB/cell
Formation energy = 0.037 eV per atom
Calculated volume = 26.31 A^3/atom

The structure in CIF format:
```
data_SmPuMg4
_symmetry_space_group_name_H-M 'F -4 3 m'
_symmetry_Int_Tables_number 216
_symmetry_space_group_name_Hall 'F -4 2 3'
_cell_length_a 8.579
_cell_length_b 8.579
_cell_length_c 8.579
_cell_angle_alpha 90.00
_cell_angle_beta 90.00
_cell_angle_gamma 90.00
loop_
_atom_site_label
_atom_site_fract_x
_atom_site_fract_y
_atom_site_fract_z
Sm1 0.000 0.000 0.000
Pu1 0.250 0.250 0.750
Mg1 0.125 0.125 0.375
```

=====

## Sm4PuMg5 (PBE-GGA)

Data for an optimized crystal structure of Sm4PuMg5.

Spin magnetization = 6.56 μB/cell
Formation energy = -0.026 eV per atom
Calculated volume = 28.20 A^3/atom

The structure in CIF format:
```
data_Sm4PuMg5
_symmetry_space_group_name_H-M 'P 4/m m m'
_symmetry_Int_Tables_number 123
_symmetry_space_group_name_Hall '-P 4 2'
_cell_length_a 3.861
_cell_length_b 3.861
_cell_length_c 18.916
_cell_angle_alpha 90.00
_cell_angle_beta 90.00
_cell_angle_gamma 90.00
loop_
_atom_site_label
_atom_site_fract_x
_atom_site_fract_y
_atom_site_fract_z
Sm1 0.000 0.000 0.101
Sm2 0.000 0.000 0.301
Pu1 0.000 0.000 0.500
Mg1 0.500 0.500 0.000
Mg2 0.500 0.500 0.201
Mg3 0.500 0.500 0.401
```

=====

## SmPuMg (PBE-GGA)

Data for an optimized crystal structure of SmPuMg.

Excess energy over the best structure of this formula in the dataset = 33 meV/atom
Spin magnetization = 5.90 μB/cell
Formation energy = 0.155 eV per atom
Calculated volume = 27.93 A^3/atom

The structure in CIF format:
```
data_SmPuMg
_symmetry_space_group_name_H-M 'P 3 m 1'
_symmetry_Int_Tables_number 156
_symmetry_space_group_name_Hall 'P 3 -2"'
_cell_length_a 5.4933
_cell_length_b 5.4933
_cell_length_c 3.2060
_cell_angle_alpha 90.00
_cell_angle_beta 90.00
_cell_angle_gamma 120.00
loop_
_atom_site_label
_atom_site_fract_x
_atom_site_fract_y
_atom_site_fract_z
Sm1 0.0000 0.0000 0.0000
Pu1 0.3333 0.6667 0.4002
Mg1 0.6667 0.3333 0.6924
```

=====

## Sm2PuMg (PBE-GGA)

Data for an optimized crystal structure of Sm2PuMg.

Excess energy over the best structure of this formula in the dataset = 231 meV/atom
Spin magnetization = 19.09 μB/cell
Formation energy = 0.293 eV per atom
Calculated volume = 30.45 A^3/atom

The structure in CIF format:
```
data_Sm2PuMg
_symmetry_space_group_name_H-M 'R -3 m'
_symmetry_Int_Tables_number 166
_symmetry_space_group_name_Hall '-R 3 2"'
_cell_length_a 3.3893
_cell_length_b 3.3893
_cell_length_c 36.7250
_cell_angle_alpha 90.00
_cell_angle_beta 90.00
_cell_angle_gamma 120.00
loop_
_atom_site_label
_atom_site_fract_x
_atom_site_fract_y
_atom_site_fract_z
Sm1 0.0000 0.0000 0.0902
Pu1 0.0000 0.0000 0.0000
Mg1 0.0000 0.0000 0.5000
```

=====

## SmPuMg2 (PBE-GGA)

Data for an optimized crystal structure of SmPuMg2.

Excess energy over the best structure of this formula in the dataset = 0 meV/atom
Spin magnetization = 6.05 μB/cell
Formation energy = 0.079 eV per atom
Calculated volume = 26.87 A^3/atom

The structure in CIF format:
```
data_SmPuMg2
_symmetry_space_group_name_H-M 'P 4/m m m'
_symmetry_Int_Tables_number 123
_symmetry_space_group_name_Hall '-P 4 2'
_cell_length_a 3.262
_cell_length_b 3.262
_cell_length_c 10.097
_cell_angle_alpha 90.00
_cell_angle_beta 90.00
_cell_angle_gamma 90.00
loop_
_atom_site_label
_atom_site_fract_x
_atom_site_fract_y
_atom_site_fract_z
Sm1 0.000 0.000 0.000
Pu1 0.000 0.000 0.500
Mg1 0.500 0.500 0.252
```

=====

## SmPuMg2 (PBE-GGA)

Data for an optimized crystal structure of SmPuMg2.

Excess energy over the best structure of this formula in the dataset = 22 meV/atom
Spin magnetization = 25.89 μB/cell
Formation energy = 0.100 eV per atom
Calculated volume = 27.99 A^3/atom

The structure in CIF format:
```
data_SmPuMg2
_symmetry_space_group_name_H-M 'F m -3 m'
_symmetry_Int_Tables_number 225
_symmetry_space_group_name_Hall '-F 4 2 3'
_cell_length_a 7.651
_cell_length_b 7.651
_cell_length_c 7.651
_cell_angle_alpha 90.00
_cell_angle_beta 90.00
_cell_angle_gamma 90.00
loop_
_atom_site_label
_atom_site_fract_x
_atom_site_fract_y
_atom_site_fract_z
Sm1 0.000 0.000 0.000
Pu1 0.000 0.000 0.500
Mg1 0.250 0.250 0.250
```

=====

## SmPuThMg (PBE-GGA)

Data for an optimized crystal structure of SmPuThMg.

Spin magnetization = 26.62 μB/cell
Formation energy = 0.239 eV per atom
Calculated volume = 29.42 A^3/atom

The structure in CIF format:
```
data_SmPuThMg
_symmetry_space_group_name_H-M 'F -4 3 m'
_symmetry_Int_Tables_number 216
_symmetry_space_group_name_Hall 'F -4 2 3'
_cell_length_a 7.779
_cell_length_b 7.779
_cell_length_c 7.779
_cell_angle_alpha 90.00
_cell_angle_beta 90.00
_cell_angle_gamma 90.00
loop_
_atom_site_label
_atom_site_fract_x
_atom_site_fract_y
_atom_site_fract_z
Sm1 0.000 0.000 0.000
Pu1 0.000 0.000 0.500
Th1 0.250 0.250 0.250
Mg1 0.250 0.250 0.750
```

=====

## SmPuMgTl (PBE-GGA)

Data for an optimized crystal structure of SmPuMgTl.

Spin magnetization = 25.54 μB/cell
Formation energy = -0.047 eV per atom
Calculated volume = 28.14 A^3/atom

The structure in CIF format:
```
data_SmPuMgTl
_symmetry_space_group_name_H-M 'F -4 3 m'
_symmetry_Int_Tables_number 216
_symmetry_space_group_name_Hall 'F -4 2 3'
_cell_length_a 7.665
_cell_length_b 7.665
_cell_length_c 7.665
_cell_angle_alpha 90.00
_cell_angle_beta 90.00
_cell_angle_gamma 90.00
loop_
_atom_site_label
_atom_site_fract_x
_atom_site_fract_y
_atom_site_fract_z
Sm1 0.000 0.000 0.000
Pu1 0.000 0.000 0.500
Mg1 0.250 0.250 0.750
Tl1 0.250 0.250 0.250
```